# 1
Density functional theory data (GGA-PBE) for crystalline HgRu3 at its relaxed geometry.

Lattice parameters (Å, degrees): 4.9416 9.0258 5.5750 90.00 90.00 90.00
With the nearest neighbours (Å) after each atom.
Space group Pnma (No. 62)
Asymmetric unit:
1 Hg 0.0661 0.2500 0.1276 [4 per cell]  10 Ru 2.72-2.94, 2 Hg 2.82
2 Ru 0.0792 0.2500 0.6390 [4 per cell]  8 Ru 2.63-2.87, 4 Hg 2.72-2.94
3 Ru 0.2227 0.5102 0.3704 [8 per cell]  8 Ru 2.63-2.87, 3 Hg 2.80-2.90

Properties
- theoretical density (g/cm3) = 13.5
- raw total energy (eV/atom) = -6.533
- magnetization (μB/f.u.) = 0.00
- energy relative to the elements (meV/atom) = 499.0

# 2
Density functional theory data (GGA-PBE) for crystalline ZnW at its relaxed geometry.

Lattice parameters (Å, degrees): 9.3273 2.6646 4.9636 90.00 95.39 90.00
With the nearest neighbours (Å) after each atom.
Space group C2/m (No. 12)
Asymmetric unit:
1 Zn 0.1235 0.0000 0.3872 [4 per cell]  5 Zn 2.65-2.85, 7 W 2.81-2.88
2 W 0.1226 0.5000 0.8845 [4 per cell]  5 W 2.65-2.87, 7 Zn 2.81-2.88

Properties
- ΔE to the lowest computed polymorph (meV per atom) = 129
- theoretical density (g/cm3) = 13.5
- raw total energy (eV/atom) = -6.822
- magnetization (μB/f.u.) = 0.00
- energy relative to the elements (meV/atom) = 291.4

What did the second record say?
Density functional theory data (GGA-PBE) for crystalline ZnW at its relaxed geometry.

Lattice parameters (Å, degrees): 9.3273 2.6646 4.9636 90.00 95.39 90.00
With the nearest neighbours (Å) after each atom.
Space group C2/m (No. 12)
Asymmetric unit:
1 Zn 0.1235 0.0000 0.3872 [4 per cell]  5 Zn 2.65-2.85, 7 W 2.81-2.88
2 W 0.1226 0.5000 0.8845 [4 per cell]  5 W 2.65-2.87, 7 Zn 2.81-2.88

Properties
- ΔE to the lowest computed polymorph (meV per atom) = 129
- theoretical density (g/cm3) = 13.5
- raw total energy (eV/atom) = -6.822
- magnetization (μB/f.u.) = 0.00
- energy relative to the elements (meV/atom) = 291.4

Which formula does entry 1 have? HgRu3